# TaSiAu3, relaxed, DFT PBE
# Polymorph energy (0 for the lowest one), meV/atom: 0
# Formation energy without anion corrections, meV/atom: 796
# Space-group type: Pm-3m (221)
# Calculated total energy, eV per atom: -4.63
data_TaSiAu3
_chemical_formula_sum 'Ta1 Si1 Au3'
_cell_length_a 4.6438
_cell_length_b 4.6438
_cell_length_c 4.6438
_cell_angle_alpha 90.00
_cell_angle_beta 90.00
_cell_angle_gamma 90.00
_space_group_name_H-M_alt 'P 1'
_space_group_IT_number 1
_space_group_name_Hall 'P 1'
loop_
_atom_site_label
_atom_site_fract_x
_atom_site_fract_y
_atom_site_fract_z
Au1 0.5000 0.0000 0.0000
Au2 0.0000 0.0000 0.5000
Au3 0.0000 0.5000 0.0000
Si1 0.0000 0.0000 0.0000
Ta1 0.5000 0.5000 0.5000